An optimized crystal structure of PrNi2O6. Source: the Alexandria database, functional PBE+U.

Computed properties:
**Crystal system**: triclinic
**Total DFT energy (no corrections)**: -5.354 eV/atom

The structure in POSCAR format:
```
PrNi2O6
1.0
5.2931 0.0018 -0.1114
-0.0018 5.4887 0.0012
-0.2415 -0.0030 7.6210
O Ni Pr
12 4 2
Direct
0.0022 0.5605 0.7407
0.7709 0.2117 0.9719
0.4999 0.9682 0.7597
0.2434 0.7773 0.0163
0.7127 0.7327 0.0308
0.0008 0.4682 0.2597
0.7432 0.2774 0.5163
0.5021 0.0603 0.2407
0.7762 0.7576 0.4833
0.2756 0.2576 0.9832
0.2718 0.7105 0.4715
0.2120 0.2317 0.5313
0.9879 0.5014 0.9940
0.5062 0.0013 0.0031
0.4875 0.0010 0.4938
0.0066 0.5010 0.5032
0.9999 0.0013 0.7506
0.5010 0.5011 0.2500
```